1.
A plane-wave DFT calculation with PBE was carried out for BH2I2 after structural relaxation.

Results
The calculation puts the total energy at -33.0 eV/cell. As for the crystal system: monoclinic.

Cell and atoms, written as extended XYZ:
```
10
Lattice="2.6228 -5.5263 0.0000 2.6228 5.5263 0.0000 -1.9564 0.0000 9.7005" Properties=species:S:1:pos:R:3 pbc="T T T"
B 1.1555 4.1440 7.2753
B 2.1337 -4.1440 2.4251
H 0.5133 3.5538 6.4552
H 1.7977 3.5538 8.0955
H 1.4915 -3.5538 1.6049
H 2.7759 -3.5538 3.2453
I 1.0011 0.0843 1.2652
I 0.0228 -0.0843 6.1154
I 3.2663 0.0843 3.5851
I 2.2881 -0.0843 8.4353
```


2.
A plane-wave DFT calculation with PBE was carried out for Rb2Li2Bi after structural relaxation.

Results
Its energy of formation from the pure elements is -351 meV/atom. As for the crystal system: trigonal.

Cell and atoms, written as extended XYZ:
```
15
Lattice="4.9104 0.0000 0.0000 -2.4552 4.2525 0.0000 0.0000 0.0000 32.7086" Properties=species:S:1:pos:R:3 pbc="T T T"
Rb 0.0000 0.0000 2.3113
Rb 0.0000 0.0000 30.3974
Rb 0.0000 2.8350 19.4945
Rb 0.0000 2.8350 24.1170
Rb 2.4552 1.4175 8.5916
Rb 2.4552 1.4175 13.2141
Li 0.0000 0.0000 5.8212
Li 0.0000 0.0000 26.8874
Li 0.0000 2.8350 15.9845
Li 0.0000 2.8350 27.6270
Li 2.4552 1.4175 5.0816
Li 2.4552 1.4175 16.7241
Bi 0.0000 0.0000 16.3543
Bi 0.0000 2.8350 5.4514
Bi 2.4552 1.4175 27.2572
```


3.
A plane-wave DFT calculation with PBE was carried out for NaHfOF2 after structural relaxation.

Results
The formation energy from raw total energies is -2.72 eV/atom. As for the crystal system: tetragonal.

Cell and atoms, written as extended XYZ:
```
5
Lattice="4.3214 0.0000 0.0000 0.0000 4.3214 0.0000 0.0000 0.0000 4.0485" Properties=species:S:1:pos:R:3 pbc="T T T"
Na 0.0000 0.0000 0.0000
Hf 2.1607 2.1607 2.0243
O 2.1607 2.1607 0.0000
F 0.0000 2.1607 2.0243
F 2.1607 0.0000 2.0243
```


4.
A plane-wave DFT calculation with PBE was carried out for LiMgTa2 after structural relaxation.

Results
Its energy of formation from the pure elements is 463 meV/atom. As for the crystal system: orthorhombic.

Cell and atoms, written as extended XYZ:
```
8
Lattice="5.4042 0.0000 0.0000 0.0000 9.8271 0.0000 0.0000 0.0000 2.7386" Properties=species:S:1:pos:R:3 pbc="T T T"
Li 0.0000 0.0000 0.0000
Li 2.7021 4.9135 0.0000
Mg 0.0000 4.9135 0.0000
Mg 2.7021 0.0000 0.0000
Ta 1.3510 2.4568 1.3693
Ta 1.3510 7.3703 1.3693
Ta 4.0531 2.4568 1.3693
Ta 4.0531 7.3703 1.3693
```


no.,size of the total moment (μB per formula unit)
1,0.00
2,0.00
3,0.56
4,0.00